Compound: Rb2PrCo2O6
Source: Alexandria via LeMat-Bulk
Functional: PBE+U
Structure: relaxed

Values from the calculation:
Electronic total energy   -63.84 eV/cell

Unit cell a=7.0343 b=7.0343 c=7.0343 alpha=52.82 beta=52.82 gamma=52.82
Last column: nearest neighbours and their distance in Å.
Atoms (fractional coordinates):
1 Rb 0.2182 0.2182 0.2182  9 O 3.12-3.19
2 Rb 0.7818 0.7818 0.7818  9 O 3.12-3.19
3 Pr 0.0000 0.0000 0.0000  6 O 2.39
4 Co 0.4290 0.4290 0.4290  3 O 1.75
5 Co 0.5710 0.5710 0.5710  3 O 1.75
6 O 0.2550 0.2550 0.7334  1 Co 1.75
7 O 0.2550 0.7334 0.2550  1 Co 1.75
8 O 0.2666 0.7450 0.7450  1 Co 1.75
9 O 0.7334 0.2550 0.2550  1 Co 1.75
10 O 0.7450 0.2666 0.7450  1 Co 1.75
11 O 0.7450 0.7450 0.2666  1 Co 1.75